1.
VASP calculation (PBE) on an optimized crystal structure of InHg3.

Properties
The volume comes out at 26.65 Å³/atom. For the formation energy, the calculation gives 0.00 eV/atom. Its crystal system is tetragonal.

a = 4.683 Å, b = 4.683 Å, c = 9.722 Å
α = 90.00°, β = 90.00°, γ = 90.00°
Sites, in units of the cell vectors:
In 0.000 0.000 0.000
In 0.500 0.500 0.500
Hg 0.000 0.000 0.500
Hg 0.000 0.500 0.250
Hg 0.000 0.500 0.750
Hg 0.500 0.000 0.250
Hg 0.500 0.000 0.750
Hg 0.500 0.500 0.000

---

2.
VASP calculation (PBE) on an optimized crystal structure of YPBr2.

Properties
The volume comes out at 25.65 Å³/atom. For the uncorrected formation energy, the calculation gives -2.47 eV per formula unit. Its crystal system is tetragonal.

a = 4.578 Å, b = 4.578 Å, c = 19.584 Å
α = 90.00°, β = 90.00°, γ = 90.00°
Sites, in units of the cell vectors:
Y 0.000 0.000 0.000
Y 0.000 0.500 0.250
Y 0.500 0.000 0.750
Y 0.500 0.500 0.500
P 0.000 0.000 0.500
P 0.000 0.500 0.750
P 0.500 0.000 0.250
P 0.500 0.500 0.000
Br 0.247 0.250 0.125
Br 0.250 0.747 0.375
Br 0.250 0.753 0.875
Br 0.253 0.250 0.625
Br 0.747 0.750 0.625
Br 0.750 0.247 0.875
Br 0.750 0.253 0.375
Br 0.753 0.750 0.125

---

3.
VASP calculation (PBE) on an optimized crystal structure of CrOs2Ru.

Properties
The volume comes out at 14.01 Å³/atom. For the formation energy, the calculation gives 0.51 eV/atom. Its crystal system is orthorhombic.

a = 2.789 Å, b = 4.535 Å, c = 8.861 Å
α = 90.00°, β = 90.00°, γ = 90.00°
Sites, in units of the cell vectors:
Cr 0.000 0.000 0.000
Cr 0.500 0.500 0.000
Os 0.000 0.000 0.497
Os 0.000 0.500 0.762
Os 0.500 0.000 0.762
Os 0.500 0.500 0.497
Ru 0.000 0.500 0.235
Ru 0.500 0.000 0.235